{
  "formula": "FeIrO2",
  "functional": "PBE+U",
  "state": "relaxed",
  "lattice": [[0.000, 2.759, 2.759], [2.759, 0.000, 2.759], [2.759, 2.759, 0.000]],
  "species": ["Fe", "Ir", "O", "O"],
  "fractional_positions": [[0.000, 0.000, 0.000], [0.500, 0.500, 0.500], [0.250, 0.250, 0.250], [0.750, 0.750, 0.750]],
  "vol_a3_per_cell": 42.0,
  "spacegroup": "Fm-3m",
  "e_above_lowest_polymorph_mev_per_atom": 610,
  "m_tot_mub_per_atom": 0.989
}